HgGeSe3 | GGA-PBE | optimized geometry

abc: 3.918 6.965 11.045
angles: 96.41 90.00 106.34
Element x y z (fractional)
Hg (0.664, 0.327, 0.861)
Hg (0.336, 0.673, 0.139)
Ge (0.908, 0.816, 0.730)
Ge (0.092, 0.184, 0.270)
Se (0.335, 0.670, 0.616)
Se (0.665, 0.330, 0.384)
Se (0.861, 0.722, 0.933)
Se (0.139, 0.278, 0.067)
Se (0.085, 0.169, 0.710)
Se (0.915, 0.831, 0.290)

Its space group is C2/m, No. 12. The total energy comes out at -32.41 eV for the cell shown. The total moment is 0.000 μB per atom. As for the uncorrected formation energy: -0.17 eV/atom.


EuTmSn | GGA-PBE | optimized geometry

abc: 4.071 4.071 6.063
angles: 109.62 109.62 90.00
Element x y z (fractional)
Eu (0.342, 0.342, 0.683)
Tm (0.645, 0.645, 0.290)
Sn (0.013, 0.013, 0.026)

Its space group is I4mm, No. 107. For the formation energy, the calculation gives -1.1 eV/f.u. The total energy comes out at -19.86 eV for the cell shown. The total moment is 2.796 μB per atom.


CaReO2 | GGA-PBE | optimized geometry

abc: 7.302 7.302 7.302
angles: 23.16 23.16 23.16
Element x y z (fractional)
Re (0.500, 0.500, 0.500)
Ca (0.000, 0.000, 0.000)
O (0.895, 0.895, 0.895)
O (0.105, 0.105, 0.105)

Its space group is R-3m, No. 166. The total energy comes out at -27.33 eV for the cell shown. The total moment is 0.000 μB per atom. As for the uncorrected formation energy: -0.74 eV/atom.


SmTmCuTc | GGA-PBE | optimized geometry

abc: 4.886 4.886 4.886
angles: 60.00 60.00 60.00
Element x y z (fractional)
Tm (0.500, 0.500, 0.500)
Tc (0.750, 0.750, 0.750)
Sm (0.000, 0.000, 0.000)
Cu (0.250, 0.250, 0.250)

Its space group is F-43m, No. 216. For the formation energy, the calculation gives -0.3 eV/f.u. The total energy comes out at -23.91 eV for the cell shown. The total moment is 0.000 μB per atom.


Tb2NdPd | GGA-PBE | optimized geometry

abc: 3.738 3.738 10.035
angles: 79.27 79.27 60.00
Element x y z (fractional)
Nd (0.500, 0.500, 0.500)
Tb (0.269, 0.269, 0.192)
Tb (0.731, 0.731, 0.808)
Pd (0.000, 0.000, 0.000)

Its space group is R-3m, No. 166. For the formation energy, the calculation gives -1.2 eV/f.u. The total energy comes out at -20.41 eV for the cell shown. The total moment is 0.000 μB per atom.


BaPmTlGe | GGA-PBE | optimized geometry

abc: 5.611 5.611 5.611
angles: 60.00 60.00 60.00
Element x y z (fractional)
Tl (0.000, 0.000, 0.000)
Ge (0.500, 0.500, 0.500)
Ba (0.750, 0.750, 0.750)
Pm (0.250, 0.250, 0.250)

Its space group is F-43m, No. 216. For the formation energy, the calculation gives -1.3 eV/f.u. The total energy comes out at -14.92 eV for the cell shown. The total moment is 0.000 μB per atom.


LaY2Sb | GGA-PBE | optimized geometry

abc: 4.785 4.923 4.923
angles: 90.00 90.00 90.00
Element x y z (fractional)
Y (0.000, 0.000, 0.500)
Y (0.000, 0.500, 0.000)
Sb (0.500, 0.000, 0.000)
La (0.500, 0.500, 0.500)

Its space group is P4/mmm, No. 123. The total energy comes out at -24.04 eV for the cell shown. The total moment is 0.000 μB per atom. As for the uncorrected formation energy: -0.52 eV/atom.


DyThSe2 | GGA-PBE | optimized geometry

abc: 4.027 4.027 7.511
angles: 74.45 74.45 60.00
Element x y z (fractional)
Se (0.245, 0.245, 0.266)
Se (0.755, 0.755, 0.734)
Th (0.000, 0.000, 0.000)
Dy (0.500, 0.500, 0.500)

Its space group is R-3m, No. 166. The total energy comes out at -25.55 eV for the cell shown. The total moment is 0.000 μB per atom. As for the uncorrected formation energy: -1.64 eV/atom.


TaBe2Rh3 | GGA-PBE | optimized geometry

abc: 2.880 2.880 9.136
angles: 90.00 90.00 90.00
Element x y z (fractional)
Ta (0.500, 0.500, 0.500)
Be (0.500, 0.500, 0.858)
Be (0.500, 0.500, 0.142)
Rh (0.000, 0.000, 0.000)
Rh (0.000, 0.000, 0.699)
Rh (0.000, 0.000, 0.301)

Its space group is P4/mmm, No. 123. For the formation energy, the calculation gives -3.5 eV/f.u. The total energy comes out at -44.89 eV for the cell shown. The total moment is 0.000 μB per atom.


ScTa2Ag | GGA-PBE | optimized geometry

abc: 3.249 4.589 5.070
angles: 90.00 90.00 90.00
Element x y z (fractional)
Ag (0.500, 0.000, 0.500)
Sc (0.000, 0.500, 0.500)
Ta (0.000, 0.000, 0.000)
Ta (0.500, 0.500, 0.000)

Its space group is Pmmm, No. 47. For the formation energy, the calculation gives 0.7 eV/f.u. The total energy comes out at -32.21 eV for the cell shown. The total moment is 0.000 μB per atom.


Tl2InAu | GGA-PBE | optimized geometry

abc: 6.397 6.397 6.397
angles: 147.15 129.45 61.61
Element x y z (fractional)
Au (0.510, 0.510, 0.000)
In (0.712, 0.212, 0.500)
Tl (0.994, 0.994, 0.000)
Tl (0.284, 0.784, 0.500)

Its space group is Imm2, No. 44. For the formation energy, the calculation gives 0.0 eV/f.u. The total energy comes out at -10.79 eV for the cell shown. The total moment is 0.000 μB per atom.


U2N | GGA-PBE | optimized geometry

abc: 3.349 3.349 4.789
angles: 110.47 110.47 90.00
Element x y z (fractional)
U (0.679, 0.679, 0.358)
U (0.321, 0.321, 0.642)
N (0.000, 0.000, 0.000)

Its space group is I4/mmm, No. 139. The total energy comes out at -30.16 eV for the cell shown. The total moment is 0.000 μB per atom. As for the uncorrected formation energy: 0.25 eV/atom.